No. 1
PBE-GGA Ba2TaAl, relaxed; formation enthalpy at 0 K = 457.9 meV per atom; magnetization = 0.0000 μB per atom
1.0
-1.115 -9.413 -3.405
0.857 -10.035 -0.006
-3.230 -0.978 1.695
Ta Al Ba
1 1 2
Direct
0.250 0.250 0.250 Ta
0.750 0.750 0.750 Al
0.100 0.100 0.897 Ba
0.400 0.400 0.603 Ba

=====

No. 2
PBE-GGA BaTaAl2, relaxed; formation enthalpy at 0 K = 586.6 meV per atom; ΔE to the lowest computed polymorph = 0.5078 eV per atom; magnetization = 0.1978 μB per atom
1.0
0.000 3.595 3.595
3.595 0.000 3.595
3.595 3.595 0.000
Al Ta Ba
2 1 1
Direct
0.750 0.750 0.750 Al
0.250 0.250 0.250 Al
0.500 0.500 0.500 Ta
0.000 0.000 0.000 Ba

=====

No. 3
PBE-GGA BaTaAl2, relaxed; formation enthalpy at 0 K = 279.4 meV per atom; ΔE to the lowest computed polymorph = 0.2007 eV per atom; magnetization = 0.0001 μB per atom
1.0
4.505 0.000 0.000
0.000 3.123 -0.123
0.000 0.281 7.090
Ta Al Ba
1 2 1
Direct
0.500 0.625 0.877 Ta
0.500 0.125 0.189 Al
0.000 0.125 0.941 Al
0.000 0.625 0.494 Ba

=====

> Look up the magnetization of the second one.

0.1978 μB per atom

=====

> Which of these has the lowest formation enthalpy at 0 K?

number 3